Entry 1:
Here is an optimized crystal structure of Ba2NpTiSe6 from Alexandria. Energies are from GGA-PBE.

Results
- Uncorrected formation energy: -1430 meV/atom
- Total magnetic moment: 0.299 μB per atom
- SG: Pmmn
- Fermi-level density of states: 9.4 states/eV/f.u.

abc: 7.433 7.432 10.505
angles: 90.00 90.00 90.00
Site moments in Bohr magnetons follow the coordinates.
Fractional positions:
1 Ba 0.500 0.750 0.250  0.00
2 Ba 0.000 0.250 0.750  0.00
3 Ba 0.500 0.750 0.750  0.00
4 Ba 0.000 0.250 0.250  0.00
5 Np 0.000 0.749 0.500  3.08
6 Np 0.500 0.251 0.000  3.08
7 Ti 0.500 0.249 0.500  0.42
8 Ti 0.000 0.751 0.000  0.42
9 Se 0.500 0.250 0.258  -0.09
10 Se 0.500 0.250 0.742  -0.09
11 Se 0.000 0.750 0.242  -0.09
12 Se 0.000 0.750 0.758  -0.09
13 Se 0.258 0.007 0.500  -0.09
14 Se 0.742 0.007 0.500  -0.09
15 Se 0.258 0.491 0.500  -0.09
16 Se 0.742 0.491 0.500  -0.09
17 Se 0.758 0.509 0.000  -0.09
18 Se 0.242 0.509 0.000  -0.09
19 Se 0.242 0.993 0.000  -0.09
20 Se 0.758 0.993 0.000  -0.09

***

Entry 2:
Here is an optimized crystal structure of Dy4CdPt from Alexandria. Energies are from GGA-PBE.

Results
- ΔH_f (0 K): -0.36 eV per atom
- Total magnetic moment: 0.000 μB per atom
- SG: P2_1/c
- E above lowest polymorph: 1.51 eV per formula unit
- Fermi-level density of states: 8.6 states/eV/f.u.

abc: 7.007 7.110 7.341
angles: 90.00 93.13 90.00
Fractional positions:
1 Dy 0.878 0.644 0.174
2 Dy 0.622 0.144 0.826
3 Dy 0.324 0.340 0.356
4 Dy 0.176 0.840 0.644
5 Dy 0.122 0.356 0.826
6 Dy 0.378 0.856 0.174
7 Dy 0.676 0.660 0.644
8 Dy 0.824 0.160 0.356
9 Cd 0.000 0.000 0.000
10 Cd 0.500 0.500 0.000
11 Pt 0.500 0.000 0.500
12 Pt 0.000 0.500 0.500

***

Entry 3:
Here is an optimized crystal structure of LiP2RuRh from Alexandria. Energies are from GGA-PBE.

Results
- ΔH_f (0 K): -0.72 eV per atom
- Total magnetic moment: 0.000 μB per atom
- SG: I-4m2
- Fermi-level density of states: 1.6 states/eV/f.u.

abc: 4.005 4.005 5.440
angles: 111.60 111.60 90.00
Fractional positions:
1 Li 0.000 0.000 0.000
2 P 0.621 0.621 0.243
3 P 0.379 0.379 0.757
4 Ru 0.250 0.750 0.500
5 Rh 0.750 0.250 0.500